First-principles (PBE) data for a relaxed structure of YInP, as listed in Alexandria via LeMat-Bulk.

Computed properties:
The crystal system is tetragonal. As for the formation energy: -635 meV per atom. Its density is 4.43 Mg/m³. The calculation puts the total magnetization at 0.00 μB/f.u. As for the total energy: -16.518 eV per cell.

a = 6.4447 Å, b = 6.4447 Å, c = 6.4447 Å
α = 144.91°, β = 144.91°, γ = 50.46°
Closest atoms and distances in Å follow each position.
Fractional positions:
Y (0.7439, 0.7439, 0.0000)  4 P 2.75
In (0.0150, 0.0150, 0.0000)  1 P 2.64
P (0.2412, 0.2412, 0.0000)  1 In 2.64, 4 Y 2.75